# 1
NdTm2In2Hg2 | GGA-PBE | optimized geometry

Results
calculated volume: 26.856 A^3/atom
total moment: 0.00 μB/cell
ΔH_f (0 K): -0.291 eV/atom

Cell: 4.953 4.953 9.301 Å, 74.56 74.56 60.00°
Atoms (fractional coordinates):
Hg1 0.567 0.567 0.300
Tm1 0.133 0.133 0.601
Tm2 0.867 0.867 0.399
In1 0.265 0.265 0.204
Hg2 0.433 0.433 0.700
Nd1 0.000 0.000 0.000
In2 0.735 0.735 0.796

***

# 2
In2AsN | GGA-PBE | optimized geometry

Results
calculated volume: 18.981 A^3/atom
energy relative to the lowest polymorph listed for this composition: 0.900 eV per atom
total moment: 1.20 μB/cell
formation energy (no corrections): 3.70 eV/f.u.

Cell: 4.753 4.753 4.753 Å, 60.00 60.00 60.00°
Atoms (fractional coordinates):
In1 0.250 0.250 0.250
N1 0.000 0.000 0.000
As1 0.500 0.500 0.500
In2 0.750 0.750 0.750

***

# 3
SrLaEr4Se8 | GGA-PBE | optimized geometry

Results
calculated volume: 31.559 A^3/atom
total moment: 0.00 μB/cell
formation energy (no corrections): -25.17 eV/f.u.

Cell: 8.471 8.471 8.630 Å, 60.61 60.61 60.00°
Atoms (fractional coordinates):
Se1 0.245 0.245 0.721
Se2 0.749 0.749 0.270
Se3 0.245 0.789 0.721
Se4 0.233 0.749 0.270
Er1 0.495 0.001 0.502
Se5 0.789 0.245 0.721
Se6 0.235 0.235 0.294
Er2 0.001 0.001 0.502
La1 0.002 0.002 0.995
Se7 0.749 0.233 0.270
Sr1 0.372 0.372 0.884
Se8 0.758 0.758 0.726
Er3 0.001 0.495 0.502
Er4 0.626 0.626 0.122

***

# 4
TaCrCd2 | GGA-PBE | optimized geometry

Results
calculated volume: 18.479 A^3/atom
energy relative to the lowest polymorph listed for this composition: 0.325 eV per atom
total moment: 2.65 μB/cell
ΔH_f (0 K): 0.611 eV/atom

Cell: 4.711 4.711 4.711 Å, 60.00 60.00 60.00°
Atoms (fractional coordinates):
Cd1 0.750 0.750 0.750
Ta1 0.250 0.250 0.250
Cd2 0.000 0.000 0.000
Cr1 0.500 0.500 0.500

***

# 5
Li4CeSm3S8 | GGA-PBE | optimized geometry

Results
calculated volume: 21.664 A^3/atom
total moment: 0.95 μB/cell
formation energy (no corrections): -28.52 eV/f.u.

Cell: 8.041 7.745 8.037 Å, 121.32 120.02 90.00°
Atoms (fractional coordinates):
S1 0.750 0.755 0.003
S2 0.248 0.245 0.496
S3 0.253 0.755 0.003
Li1 0.000 0.000 0.000
S4 0.250 0.245 0.997
Ce1 0.000 0.500 0.000
Sm1 0.500 0.500 0.000
S5 0.747 0.245 0.997
S6 0.253 0.755 0.506
Li2 0.500 0.000 0.500
Sm2 0.500 0.500 0.500
Li3 0.500 0.000 0.000
S7 0.752 0.755 0.504
Li4 0.000 0.000 0.500
Sm3 0.000 0.500 0.500
S8 0.747 0.245 0.494

***

# 6
DyGa6Ir4 | GGA-PBE | optimized geometry

Results
calculated volume: 18.386 A^3/atom
total moment: 0.00 μB/cell
ΔH_f (0 K): -0.519 eV/atom

Cell: 6.596 6.596 6.596 Å, 89.63 120.21 120.21°
Atoms (fractional coordinates):
Ga1 0.500 0.000 0.500
Ir1 0.632 0.395 0.395
Ga2 0.653 0.124 0.124
Dy1 0.000 0.000 0.000
Ir2 0.000 0.605 0.237
Ir3 0.368 0.763 0.763
Ga3 0.000 0.530 0.876
Ga4 0.500 0.500 0.000
Ga5 0.000 0.876 0.530
Ir4 0.000 0.237 0.605
Ga6 0.347 0.470 0.470

***

no.,DFT total energy (eV per cell)
1,-21.8
2,-14.7
3,-77.9
4,-20.9
5,-89.3
6,-63.9